# 1
{
  "formula": "NaInI2",
  "functional": "PBE",
  "state": "relaxed",
  "lattice": [[7.5885, 0.0000, 0.0000], [0.0000, 7.5885, 0.0000], [3.7942, 3.7942, 7.3409]],
  "species": ["I", "I", "I", "I", "Na", "Na", "In", "In"],
  "frac_coords": [[0.5904, 0.1250, 0.2500], [0.1596, 0.6250, 0.2500], [0.3750, 0.4096, 0.7500], [0.8750, 0.8404, 0.7500], [0.5000, 0.5000, 0.0000], [0.2500, 0.7500, 0.5000], [0.0000, 0.0000, 0.0000], [0.7500, 0.2500, 0.5000]],
  "formation_energy_uncorrected_ev_per_atom": -0.7801,
  "volume_a3_per_cell": 422.7,
  "polymorph_energy_mev_per_atom": 66,
  "sg": "I-42d"
}



# 2
{
  "formula": "Na2InI",
  "functional": "PBE",
  "state": "relaxed",
  "lattice": [[0.0000, 4.0349, 4.0349], [4.0349, 0.0000, 4.0349], [4.0349, 4.0349, 0.0000]],
  "species": ["I", "Na", "Na", "In"],
  "frac_coords": [[0.5000, 0.5000, 0.5000], [0.2500, 0.2500, 0.2500], [0.7500, 0.7500, 0.7500], [0.0000, 0.0000, 0.0000]],
  "formation_energy_uncorrected_ev_per_atom": -0.2632,
  "volume_a3_per_cell": 131.4,
  "polymorph_energy_mev_per_atom": 226,
  "sg": "Fm-3m"
}



# 3
{
  "formula": "NaIn6I8",
  "functional": "PBE",
  "state": "relaxed",
  "lattice": [[-1.0238, 4.4051, 2.4626], [-9.8687, -4.6397, 4.1964], [9.9647, -1.0448, 6.0116]],
  "species": ["Na", "In", "In", "In", "In", "In", "In", "I", "I", "I", "I", "I", "I", "I", "I"],
  "frac_coords": [[0.5000, 0.0000, 0.0000], [0.7517, 0.6571, 0.1220], [0.7517, 0.8780, 0.5352], [0.7517, 0.4648, 0.3429], [0.2483, 0.3429, 0.8780], [0.2483, 0.1220, 0.4648], [0.2483, 0.5352, 0.6571], [0.7451, 0.9719, 0.2621], [0.7451, 0.7379, 0.7098], [0.7451, 0.2902, 0.0281], [0.2549, 0.0281, 0.7379], [0.2549, 0.2621, 0.2902], [0.2549, 0.7098, 0.9719], [0.7439, 0.3333, 0.6667], [0.2561, 0.6667, 0.3333]],
  "formation_energy_uncorrected_ev_per_atom": -0.4943,
  "volume_a3_per_cell": 608.9,
  "sg": "P-3"
}



# 4
{
  "formula": "NaInI2",
  "functional": "PBE",
  "state": "relaxed",
  "lattice": [[4.1269, 0.0000, 0.0000], [0.0000, 4.1269, 0.0000], [0.0000, 0.0000, 8.3583]],
  "species": ["I", "I", "Na", "In"],
  "frac_coords": [[0.0000, 0.0000, 0.7618], [0.0000, 0.0000, 0.2382], [0.5000, 0.5000, 0.0000], [0.5000, 0.5000, 0.5000]],
  "formation_energy_uncorrected_ev_per_atom": -0.7522,
  "volume_a3_per_cell": 142.4,
  "polymorph_energy_mev_per_atom": 94,
  "sg": "P4/mmm"
}



# 5
{
  "formula": "Na4InI6",
  "functional": "PBE",
  "state": "relaxed",
  "lattice": [[4.3320, 0.0000, 0.0000], [-2.1660, 7.7312, 0.0000], [0.0000, 0.0000, 23.9908]],
  "species": ["Na", "Na", "Na", "Na", "Na", "Na", "Na", "Na", "In", "In", "I", "I", "I", "I", "I", "I", "I", "I", "I", "I", "I", "I"],
  "frac_coords": [[0.8587, 0.7174, 0.5382], [0.4030, 0.8060, 0.1243], [0.1413, 0.2826, 0.4618], [0.5970, 0.1940, 0.8757], [0.8587, 0.7174, 0.9618], [0.1413, 0.2826, 0.0382], [0.5970, 0.1940, 0.6243], [0.4030, 0.8060, 0.3757], [0.6437, 0.2875, 0.2500], [0.3563, 0.7125, 0.7500], [0.5000, 0.0000, 0.0000], [0.5000, 0.0000, 0.5000], [0.0512, 0.1023, 0.3353], [0.9488, 0.8977, 0.6647], [0.9488, 0.8977, 0.8353], [0.0512, 0.1023, 0.1647], [0.7736, 0.5473, 0.4166], [0.2264, 0.4527, 0.5834], [0.2264, 0.4527, 0.9166], [0.7736, 0.5473, 0.0834], [0.2940, 0.5879, 0.2500], [0.7060, 0.4121, 0.7500]],
  "formation_energy_uncorrected_ev_per_atom": -0.9823,
  "volume_a3_per_cell": 803.5,
  "sg": "Cmcm"
}



# 6
{
  "formula": "Na4InI5",
  "functional": "PBE",
  "state": "relaxed",
  "lattice": [[4.6769, 0.0000, -0.6591], [-0.0929, 4.6760, -0.6591], [-0.0042, -0.0042, 16.8932]],
  "species": ["Na", "Na", "Na", "Na", "In", "I", "I", "I", "I", "I"],
  "frac_coords": [[0.3969, 0.3969, 0.7939], [0.7980, 0.7980, 0.5961], [0.2020, 0.2020, 0.4039], [0.6031, 0.6031, 0.2061], [0.0000, 0.0000, 0.0000], [0.1049, 0.1049, 0.2098], [0.5000, 0.5000, 0.0000], [0.8951, 0.8951, 0.7902], [0.2990, 0.2990, 0.5980], [0.7010, 0.7010, 0.4020]],
  "formation_energy_uncorrected_ev_per_atom": -1.0845,
  "volume_a3_per_cell": 369.4,
  "sg": "I4/mmm"
}



# 7
{
  "formula": "NaIn2I6",
  "functional": "PBE",
  "state": "relaxed",
  "lattice": [[-6.6027, 5.5436, -3.1407], [-8.9731, -3.8397, 3.8369], [-1.3691, 7.2599, 7.4432]],
  "species": ["Na", "Na", "In", "In", "In", "In", "I", "I", "I", "I", "I", "I", "I", "I", "I", "I", "I", "I"],
  "frac_coords": [[0.2500, 0.0918, 0.9082], [0.7500, 0.9082, 0.0918], [0.2565, 0.6042, 0.8095], [0.2435, 0.1905, 0.3958], [0.7435, 0.3958, 0.1905], [0.7565, 0.8095, 0.6042], [0.5447, 0.6411, 0.6256], [0.9553, 0.3744, 0.3589], [0.4553, 0.3589, 0.3744], [0.0447, 0.6256, 0.6411], [0.8165, 0.9583, 0.3642], [0.6835, 0.6358, 0.0417], [0.1835, 0.0417, 0.6358], [0.3165, 0.3642, 0.9583], [0.1398, 0.8057, 0.9927], [0.3602, 0.0073, 0.1943], [0.8602, 0.1943, 0.0073], [0.6398, 0.9927, 0.8057]],
  "formation_energy_uncorrected_ev_per_atom": -0.6016,
  "volume_a3_per_cell": 934.9,
  "polymorph_energy_mev_per_atom": 0,
  "sg": "C2/c"
}



# 8
{
  "formula": "Na3In2I5",
  "functional": "PBE",
  "state": "relaxed",
  "lattice": [[4.5663, 0.0000, 1.0133], [1.8481, 8.2084, 2.4671], [0.1350, -0.9742, 10.1870]],
  "species": ["Na", "Na", "Na", "In", "In", "I", "I", "I", "I", "I"],
  "frac_coords": [[0.5000, 0.5000, 0.5000], [0.1136, 0.6465, 0.1262], [0.8864, 0.3535, 0.8738], [0.3303, 0.0711, 0.2684], [0.6697, 0.9289, 0.7316], [0.0000, 0.0000, 0.0000], [0.0970, 0.2243, 0.5816], [0.9030, 0.7757, 0.4184], [0.6966, 0.4098, 0.1970], [0.3034, 0.5902, 0.8030]],
  "formation_energy_uncorrected_ev_per_atom": -0.9061,
  "volume_a3_per_cell": 389.9,
  "sg": "C2/m"
}



no.,DOS at the Fermi energy (states/eV/f.u.)
1,0.0
2,3.3
3,6.3
4,0.0
5,2.2
6,0.0
7,3.4
8,0.0